VASP calculation (GGA+U) on a relaxed AlGaNiO4 crystal.

Electronic total energy (eV per atom): -6.145
DOS at the Fermi energy (states/eV/cell): 0.00
Calculated volume (A^3/atom): 10.8

CIF file:
```
data_AlGaNiO4
_space_group_name_H-M_alt 'C m c m'
_space_group_IT_number 63
_space_group_name_Hall '-C 2c 2'
_cell_length_a 5.687
_cell_length_b 8.773
_cell_length_c 6.042
_cell_angle_alpha 90.00
_cell_angle_beta 90.00
_cell_angle_gamma 90.00
loop_
_atom_site_label
_atom_site_fract_x
_atom_site_fract_y
_atom_site_fract_z
_atom_site_occupancy
Al1 0.000 0.150 0.250 1
Ga1 0.000 0.155 0.750 1
Ni1 0.000 0.500 0.000 1
O1 0.000 0.263 0.010 1
O2 0.232 0.006 0.250 1
```